First-principles (GGA-PBE) data for a relaxed structure of AlCr2GaP, as listed in Alexandria.

Properties
**Calculated density**: 3.5 g cm⁻³
**Crystal system**: tetragonal
**E_form**: 1.04 eV per atom

Geometry as CIF:
```
data_AlCr2GaP
_chemical_formula_sum 'Al1 Cr2 Ga1 P1'
_cell_length_a 4.915
_cell_length_b 4.915
_cell_length_c 4.542
_cell_angle_alpha 90.00
_cell_angle_beta 90.00
_cell_angle_gamma 90.00
_space_group_name_H-M_alt 'P 4/m m m'
_space_group_IT_number 123
_space_group_name_Hall '-P 4 2'
loop_
_atom_site_label
_atom_site_fract_x
_atom_site_fract_y
_atom_site_fract_z
Al1 0.000 0.000 0.000
Cr1 0.000 0.500 0.000
Ga1 0.500 0.500 0.500
P1 0.000 0.000 0.500
```